Compound: BaCdO3
Source: the Open Quantum Materials Database
Functional: PBE
Structure: relaxed

Computed properties:
Electronic total energy   -4.64 eV per atom

Structure (extended XYZ):
```
10
Lattice="-1.558 -2.326 5.249 -4.568 -3.795 0.333 1.422 -6.285 1.008" Properties=species:S:1:pos:R:3 pbc="T T T"
O -4.493 -5.788 2.252
O -1.936 -3.845 2.966
O -3.429 -5.543 5.356
O -1.276 -6.862 1.234
O -0.212 -6.617 4.338
O -2.769 -8.560 3.624
Ba 0.124 -4.695 1.327
Ba -4.829 -7.710 5.263
Cd -3.976 -4.213 3.695
Cd -0.729 -8.192 2.895
```


Compound: BaCd3O4
Source: the Open Quantum Materials Database
Functional: PBE
Structure: relaxed

Computed properties:
Electronic total energy   -4.35 eV per atom

Structure (extended XYZ):
```
8
Lattice="-2.310 2.147 -1.437 -3.356 -1.217 3.577 2.353 5.191 3.973" Properties=species:S:1:pos:R:3 pbc="T T T"
O -2.526 2.951 2.205
O -0.210 1.347 0.262
O 0.817 3.613 1.995
O -1.350 5.552 4.192
Cd -0.819 3.098 3.855
Cd -1.925 0.654 1.986
Cd -0.852 3.553 0.410
Ba 0.325 6.148 2.396
```


Compound: BaCdP2O7
Source: the Open Quantum Materials Database
Functional: PBE
Structure: relaxed

Computed properties:
Electronic total energy   -6.74 eV per atom

Structure (extended XYZ):
```
22
Lattice="5.652 0.007 -0.002 -0.394 7.018 0.007 0.022 -1.527 7.427" Properties=species:S:1:pos:R:3 pbc="T T T"
O 1.134 2.067 5.841
O 2.767 -0.350 5.102
O 2.667 4.011 6.528
O 5.107 1.169 0.837
O 3.975 1.668 4.142
O 1.263 4.219 0.796
O 2.614 1.487 0.904
O 4.147 3.431 1.591
O 1.306 3.831 3.290
O 0.173 4.330 6.595
O 5.278 -0.284 5.069
O 2.514 5.848 2.330
O 0.003 5.782 2.363
O 4.018 1.279 6.637
P 1.284 4.936 2.250
P 3.997 0.562 5.183
P 3.956 2.208 0.725
P 1.325 3.290 6.707
Ba 4.052 4.307 4.201
Ba 1.228 1.191 3.231
Cd 4.103 5.826 0.748
Cd 1.178 -0.328 6.685
```